The following is a DFT calculation (PBE-GGA) of a relaxed structure of LiTc2Se.

POSCAR file:
```
LiTc2Se
1.0
4.987 0.000 0.000
0.000 9.656 0.000
-2.459 0.000 2.583
Li Tc Se
2 4 2
Cartesian
0.000 0.000 0.000
2.494 4.828 0.000
0.017 2.414 1.291
0.017 7.242 1.291
2.511 2.414 1.291
2.511 7.242 1.291
0.000 4.828 0.000
2.494 0.000 0.000
```

Computed properties:
- Symmetry: No. 12
- Magnetization: 0.00 μB per formula unit
- Calculated total energy: -6.25 eV per atom

The following is a DFT calculation (PBE-GGA) of a relaxed structure of K2RuRh.

POSCAR file:
```
K2RuRh
1.0
8.381 0.000 0.000
0.000 2.904 0.000
-0.436 0.000 9.840
K Ru Rh
4 2 2
Cartesian
0.000 0.000 0.000
1.699 0.000 5.496
4.190 1.452 0.000
5.889 1.452 5.496
1.984 1.452 2.391
6.175 0.000 2.391
3.919 0.000 3.129
8.110 1.452 3.129
```

Computed properties:
- Symmetry: No. 8
- Calculated formation energy: 593 meV/atom
- Offset from the most stable computed form: 60 meV per atom
- Magnetization: 0.00 μB per formula unit
- Calculated total energy: -4.11 eV per atom

The following is a DFT calculation (PBE-GGA) of a relaxed structure of ErInSn.

POSCAR file:
```
ErInSn
1.0
5.177 0.000 0.000
-2.589 4.484 0.000
0.000 0.000 3.338
Er In Sn
1 1 1
Cartesian
0.000 0.000 0.000
0.000 2.989 1.681
2.589 1.495 1.659
```

Computed properties:
- Symmetry: No. 156
- Calculated formation energy: -334 meV/atom
- Offset from the most stable computed form: 5 meV per atom
- Magnetization: 0.00 μB per formula unit
- Calculated total energy: -4.10 eV per atom

The following is a DFT calculation (PBE-GGA) of a relaxed structure of Rb2HoTcO6.

POSCAR file:
```
Rb2HoTcO6
1.0
6.434 0.000 0.000
-3.217 5.572 0.000
0.000 0.000 5.731
Rb Ho Tc O
2 1 1 6
Cartesian
0.000 3.715 0.714
3.217 1.857 5.017
0.000 0.000 2.866
0.000 0.000 0.000
0.000 1.511 4.556
-1.908 4.816 4.556
1.309 0.756 1.176
1.908 4.816 4.556
5.125 0.756 1.176
3.217 4.061 1.176
```

Computed properties:
- Symmetry: No. 164
- Magnetization: 0.00 μB per formula unit
- Calculated total energy: -6.54 eV per atom

The following is a DFT calculation (PBE-GGA) of a relaxed structure of InAg3Pb.

POSCAR file:
```
InAg3Pb
1.0
5.192 0.000 0.000
0.000 5.192 0.000
0.000 0.000 5.192
In Ag Pb
1 3 1
Cartesian
0.000 0.000 0.000
0.000 0.000 2.596
0.000 2.596 0.000
2.596 0.000 0.000
2.596 2.596 2.596
```

Computed properties:
- Symmetry: No. 221
- Calculated formation energy: 459 meV/atom
- Offset from the most stable computed form: 0 meV per atom
- Magnetization: 0.00 μB per formula unit
- Calculated total energy: -2.54 eV per atom

The following is a DFT calculation (PBE-GGA) of a relaxed structure of MnAgSe2.

POSCAR file:
```
MnAgSe2
1.0
3.366 0.000 0.000
0.008 5.795 0.000
0.019 1.904 7.914
Mn Ag Se
2 2 4
Cartesian
0.000 0.000 0.000
1.701 3.485 6.510
0.044 6.496 3.839
1.717 2.784 2.669
0.018 3.871 4.763
1.691 5.409 1.747
1.711 6.925 6.357
3.363 2.356 0.151
```

Computed properties:
- Symmetry: No. 1
- Magnetization: 2.00 μB per formula unit
- Calculated total energy: -4.93 eV per atom

The following is a DFT calculation (PBE-GGA) of a relaxed structure of LiPr2PPb.

POSCAR file:
```
LiPr2PPb
1.0
7.763 0.000 0.000
0.000 4.265 0.000
-2.446 0.000 8.284
Li Pr P Pb
2 4 2 2
Cartesian
-0.039 1.066 1.334
5.355 3.199 6.950
0.774 3.199 4.340
2.573 3.199 0.905
2.743 1.066 7.379
4.542 1.066 3.944
1.916 1.066 2.710
3.400 3.199 5.573
-0.561 1.066 6.604
5.877 3.199 1.680
```

Computed properties:
- Symmetry: No. 11
- Calculated formation energy: -826 meV/atom
- Magnetization: 0.00 μB per formula unit
- Calculated total energy: -4.94 eV per atom

The following is a DFT calculation (PBE-GGA) of a relaxed structure of Sc2IrAu.

POSCAR file:
```
Sc2IrAu
1.0
3.297 0.000 0.000
0.000 4.131 0.000
0.000 0.000 5.686
Sc Ir Au
2 1 1
Cartesian
0.000 0.000 0.000
1.649 2.066 1.990
1.649 2.066 5.007
0.000 0.000 2.932
```

Computed properties:
- Symmetry: No. 25
- Calculated formation energy: -651 meV/atom
- Magnetization: 0.00 μB per formula unit
- Calculated total energy: -6.85 eV per atom